[1]
# PBE-GGA K2RbAgI4, optimized geometry
# M_tot = 0.0000 μB per atom
# Symmetry = Cmcm, No. 63
# Theoretical density = 3596 kg/m³
# ΔE_f (raw) = -1168 meV/atom
# Electronic total energy = -2.695 eV per atom
data_K2RbAgI4
_cell_length_a 8.633
_cell_length_b 8.633
_cell_length_c 17.684
_cell_angle_alpha 90.00
_cell_angle_beta 90.00
_cell_angle_gamma 146.91
_space_group_name_H-M_alt 'P 1'
_space_group_IT_number 1
loop_
_space_group_symop_operation_xyz
'x,y,z'
loop_
_atom_site_label
_atom_site_fract_x
_atom_site_fract_y
_atom_site_fract_z
K1 0.133 0.867 0.556
K2 0.133 0.867 0.944
K3 0.867 0.133 0.056
K4 0.867 0.133 0.444
Rb1 0.386 0.614 0.750
Rb2 0.614 0.386 0.250
Ag1 0.339 0.661 0.250
Ag2 0.661 0.339 0.750
I1 0.066 0.934 0.750
I2 0.227 0.773 0.125
I3 0.227 0.773 0.375
I4 0.500 0.500 0.000
I5 0.500 0.500 0.500
I6 0.773 0.227 0.625
I7 0.773 0.227 0.875
I8 0.934 0.066 0.250

***

[2]
# PBE-GGA CoIr2Au, optimized geometry
# M_tot = 0.3390 μB per atom
# Energy above the most stable polymorph in this dataset = 21.6 meV per atom
# Symmetry = R3m, No. 160
# Theoretical density = 18130 kg/m³
# Electronic total energy = -6.827 eV per atom
data_CoIr2Au
_cell_length_a 9.044
_cell_length_b 9.044
_cell_length_c 9.044
_cell_angle_alpha 17.54
_cell_angle_beta 17.54
_cell_angle_gamma 17.54
_space_group_name_H-M_alt 'P 1'
_space_group_IT_number 1
loop_
_space_group_symop_operation_xyz
'x,y,z'
loop_
_atom_site_label
_atom_site_fract_x
_atom_site_fract_y
_atom_site_fract_z
Co1 0.000 0.000 0.000
Ir1 0.491 0.491 0.491
Ir2 0.742 0.742 0.742
Au1 0.249 0.249 0.249